[1]
Here is RbRe2O8 after structural relaxation from Alexandria. Energies are from PBE.

**Distance to the lowest polymorph of the same formula**: 0.0000 eV/atom
**Theoretical density**: 4.16 g/cm3
**Space group**: C2/m
**E_form (uncorrected)**: -1.50 eV/atom
**Uncorrected energy**: -7.457 eV per atom
**Magnetic moment**: 1.078 μB per cell

POSCAR file:
```
RbRe2O8
1.0
6.0182 -2.9435 0.0000
6.0182 2.9435 0.0000
-3.0865 0.0000 6.6010
Rb Re O
1 2 8
Direct
0.0000 0.0000 0.0000 Rb
0.2150 0.2150 0.7118 Re
0.7850 0.7850 0.2882 Re
0.0744 0.5893 0.1984 O
0.1438 0.1438 0.4450 O
0.3745 0.3745 0.7994 O
0.4107 0.9256 0.8016 O
0.5893 0.0744 0.1984 O
0.6255 0.6255 0.2006 O
0.8562 0.8562 0.5550 O
0.9256 0.4107 0.8016 O
```


[2]
Here is RbReO2 after structural relaxation from Alexandria. Energies are from PBE.

**Distance to the lowest polymorph of the same formula**: 0.1362 eV/atom
**Theoretical density**: 6.59 g/cm3
**Space group**: I-42d
**E_form (uncorrected)**: -0.82 eV/atom
**Uncorrected energy**: -6.653 eV per atom
**Magnetic moment**: 0.000 μB per cell

POSCAR file:
```
RbReO2
1.0
-2.6056 2.6056 5.6359
2.6056 -2.6056 5.6359
2.6056 2.6056 -5.6359
Rb Re O
2 2 4
Direct
0.0000 0.0000 0.0000 Rb
0.7500 0.2500 0.5000 Rb
0.2500 0.7500 0.5000 Re
0.5000 0.5000 0.0000 Re
0.3272 0.6250 0.2022 O
0.3750 0.5772 0.7022 O
0.4228 0.1250 0.7978 O
0.8750 0.6728 0.2978 O
```


[3]
Here is RbRe3O after structural relaxation from Alexandria. Energies are from PBE.

**Distance to the lowest polymorph of the same formula**: 2.9984 eV/atom
**Theoretical density**: 10.28 g/cm3
**Space group**: Pm-3m
**E_form (uncorrected)**: 4.82 eV/atom
**Uncorrected energy**: -3.834 eV per atom
**Magnetic moment**: 5.077 μB per cell

POSCAR file:
```
RbRe3O
1.0
4.7417 0.0000 0.0000
0.0000 4.7417 0.0000
0.0000 0.0000 4.7417
Rb Re O
1 3 1
Direct
0.0000 0.0000 0.0000 Rb
0.0000 0.0000 0.5000 Re
0.0000 0.5000 0.0000 Re
0.5000 0.0000 0.0000 Re
0.5000 0.5000 0.5000 O
```


[4]
Here is RbRe2O8 after structural relaxation from Alexandria. Energies are from PBE.

**Distance to the lowest polymorph of the same formula**: 0.1694 eV/atom
**Theoretical density**: 6.87 g/cm3
**Space group**: C2/m
**E_form (uncorrected)**: -1.33 eV/atom
**Uncorrected energy**: -7.288 eV per atom
**Magnetic moment**: 0.565 μB per cell

POSCAR file:
```
RbRe2O8
1.0
6.0686 -3.0648 0.0000
6.0686 3.0648 0.0000
-0.1883 0.0000 3.8055
Rb Re O
1 2 8
Direct
0.0000 0.0000 0.0000 Rb
0.2913 0.2913 0.5177 Re
0.7087 0.7087 0.4823 Re
0.0338 0.6467 0.5049 O
0.2955 0.2955 0.0160 O
0.3533 0.9662 0.4951 O
0.4664 0.4664 0.6396 O
0.5336 0.5336 0.3604 O
0.6467 0.0338 0.5049 O
0.7045 0.7045 0.9840 O
0.9662 0.3533 0.4951 O
```